This record from Alexandria describes a relaxed AlCd3Pt crystal. The functional is GGA-PBE.

Calculated values
- Polymorph energy (0 for the lowest one): 0.000 eV per atom
- E_form: 0.227 eV/atom
- M_tot: 0.00 μB per formula unit
- Total DFT energy (no corrections): -2.278 eV/atom

Cell and atoms, written as CIF:
```
data_AlCd3Pt
_chemical_formula_sum 'Al1 Cd3 Pt1'
_space_group_name_H-M_alt 'P m -3 m'
_space_group_IT_number 221
_space_group_name_Hall '-P 4 2 3'
_cell_length_a 5.211
_cell_length_b 5.211
_cell_length_c 5.211
_cell_angle_alpha 90.00
_cell_angle_beta 90.00
_cell_angle_gamma 90.00
loop_
_atom_site_label
_atom_site_fract_x
_atom_site_fract_y
_atom_site_fract_z
Al1 0.000 0.000 0.000
Cd1 0.000 0.500 0.500
Pt1 0.500 0.500 0.500
```